No. 1
V2Te6W: relaxed, GGA-PBE.

Summary:
* formation energy from raw total energies: -0.1348 eV per atom

Cell and atoms, written as CIF:
```
data_V2Te6W
_chemical_formula_sum 'V4 Te12 W2'
_space_group_name_H-M_alt 'P n n m'
_space_group_IT_number 58
_cell_length_a 6.183
_cell_length_b 6.265
_cell_length_c 11.150
_cell_angle_alpha 90.00
_cell_angle_beta 90.00
_cell_angle_gamma 90.00
loop_
_space_group_symop_operation_xyz
'x,y,z'
'-x,-y,-z'
'-x,-y,z'
'x,y,-z'
'x+1/2,-y+1/2,-z+1/2'
'-x+1/2,y+1/2,z+1/2'
'-x+1/2,y+1/2,-z+1/2'
'x+1/2,-y+1/2,z+1/2'
loop_
_atom_site_label
_atom_site_type_symbol
_atom_site_fract_x
_atom_site_fract_y
_atom_site_fract_z
_atom_site_occupancy
V1 V 0.000 0.000 0.139 1
Te1 Te 0.202 0.324 0.500 1
Te2 Te 0.235 0.827 0.329 1
W1 W 0.000 0.500 0.000 1
```



No. 2
VTeW: relaxed, GGA-PBE.

Summary:
* formation energy from raw total energies: 0.4724 eV per atom

Cell and atoms, written as CIF:
```
data_VTeW
_chemical_formula_sum 'V4 Te4 W4'
_space_group_name_H-M_alt 'A m m 2'
_space_group_IT_number 38
_cell_length_a 13.254
_cell_length_b 3.303
_cell_length_c 5.048
_cell_angle_alpha 90.00
_cell_angle_beta 90.00
_cell_angle_gamma 90.00
loop_
_space_group_symop_operation_xyz
'x,y,z'
'-x,-y,z'
'-x,y,z'
'x,-y,z'
'x,y+1/2,z+1/2'
'-x,-y+1/2,z+1/2'
'-x,y+1/2,z+1/2'
'x,-y+1/2,z+1/2'
loop_
_atom_site_label
_atom_site_type_symbol
_atom_site_fract_x
_atom_site_fract_y
_atom_site_fract_z
_atom_site_occupancy
V1 V 0.000 0.000 0.000 1
V2 V 0.500 0.000 0.100 1
Te1 Te 0.148 0.000 0.651 1
W1 W 0.355 0.000 0.598 1
```



No. 3
V3TeW: relaxed, GGA-PBE.

Summary:
* formation energy from raw total energies: 1.7986 eV per atom
* distance to the lowest polymorph of the same formula: 269 kJ/mol of formula units

Cell and atoms, written as CIF:
```
data_V3TeW
_chemical_formula_sum 'V3 Te1 W1'
_space_group_name_H-M_alt 'P m -3 m'
_space_group_IT_number 221
_space_group_name_Hall '-P 4 2 3'
_cell_length_a 4.709
_cell_length_b 4.709
_cell_length_c 4.709
_cell_angle_alpha 90.00
_cell_angle_beta 90.00
_cell_angle_gamma 90.00
loop_
_atom_site_label
_atom_site_type_symbol
_atom_site_fract_x
_atom_site_fract_y
_atom_site_fract_z
_atom_site_occupancy
V1 V 0.000 0.000 0.500 1
Te1 Te 0.000 0.000 0.000 1
W1 W 0.500 0.500 0.500 1
```



No. 4
VTe6W: relaxed, GGA-PBE.

Summary:
* formation energy from raw total energies: 0.0362 eV per atom

Cell and atoms, written as CIF:
```
data_VTe6W
_chemical_formula_sum 'V1 Te6 W1'
_space_group_name_H-M_alt 'P -1'
_space_group_IT_number 2
_cell_length_a 6.300
_cell_length_b 6.743
_cell_length_c 6.824
_cell_angle_alpha 68.53
_cell_angle_beta 64.31
_cell_angle_gamma 62.38
loop_
_space_group_symop_operation_xyz
'x,y,z'
'-x,-y,-z'
loop_
_atom_site_label
_atom_site_type_symbol
_atom_site_fract_x
_atom_site_fract_y
_atom_site_fract_z
_atom_site_occupancy
V1 V 0.000 0.000 0.000 1
Te1 Te 0.042 0.780 0.718 1
Te2 Te 0.300 0.604 0.181 1
Te3 Te 0.388 0.117 0.687 1
W1 W 0.500 0.500 0.500 1
```



What is the formation energy from raw total energies in the fourth record? 0.0362 eV per atom